Record 1
Here is a geometry-optimized B4Ir2Rh3 structure from the Alexandria database. Energies are from PBE.

Values from the calculation:
Crystal system: monoclinic
Calculated formation energy in eV per atom: -0.153
Electronic total energy in eV per cell: -67.87
Space group: C2/m, No. 12

```
B4Ir2Rh3
1.0
-2.128 -2.440 0.592
3.047 0.531 3.997
-5.253 4.666 0.344
B Rh Ir
4 3 2
direct
0.152 0.305 0.611
0.337 0.673 0.876
0.663 0.327 0.124
0.848 0.695 0.389
0.000 0.000 0.000
0.382 0.764 0.595
0.618 0.236 0.405
0.683 0.367 0.823
0.317 0.633 0.177
```

Record 2
Here is a geometry-optimized B3IrRh structure from the Alexandria database. Energies are from PBE.

Values from the calculation:
Crystal system: cubic
Calculated formation energy in eV per atom: 1.470
Electronic total energy in eV per cell: -28.89
Excess energy over the best structure of this formula in the dataset in kJ/mol of formula units: 201
Space group: Pm-3m, No. 221

```
B3IrRh
1.0
-1.966 -2.523 2.347
1.848 -3.052 -1.733
2.908 0.234 2.688
B Ir Rh
3 1 1
direct
0.000 0.500 0.000
0.000 0.000 0.500
0.500 0.000 0.000
0.500 0.500 0.500
0.000 0.000 0.000
```

Record 3
Here is a geometry-optimized B2IrRh2 structure from the Alexandria database. Energies are from PBE.

Values from the calculation:
Crystal system: tetragonal
Calculated formation energy in eV per atom: -0.007
Electronic total energy in eV per cell: -73.91
Excess energy over the best structure of this formula in the dataset in kJ/mol of formula units: 109
Space group: P4/mbm, No. 127

```
B2IrRh2
1.0
6.323 0.000 0.000
0.000 6.323 0.000
0.000 0.000 2.747
Ir B Rh
2 4 4
direct
0.500 0.500 0.000
0.000 0.000 0.000
0.848 0.652 0.000
0.652 0.152 0.000
0.152 0.348 0.000
0.348 0.848 0.000
0.348 0.152 0.500
0.152 0.652 0.500
0.848 0.348 0.500
0.652 0.848 0.500
```

Record 4
Here is a geometry-optimized BIr2Rh structure from the Alexandria database. Energies are from PBE.

Values from the calculation:
Crystal system: tetragonal
Calculated formation energy in eV per atom: 0.009
Electronic total energy in eV per cell: -31.72
Space group: P4/mmm, No. 123

```
BIr2Rh
1.0
2.740 0.000 0.000
0.000 2.740 0.000
0.000 0.000 6.585
Ir B Rh
2 1 1
direct
0.000 0.000 0.801
0.000 0.000 0.199
0.500 0.500 0.000
0.500 0.500 0.500
```

Record 5
Here is a geometry-optimized BIrRh structure from the Alexandria database. Energies are from PBE.

Values from the calculation:
Crystal system: tetragonal
Calculated formation energy in eV per atom: -0.042
Electronic total energy in eV per cell: -23.02
Space group: I4mm, No. 107

```
BIrRh
1.0
-1.217 0.773 2.312
1.482 -1.816 1.388
3.205 3.761 -1.175
B Ir Rh
1 1 1
direct
0.674 0.674 0.348
0.303 0.303 0.605
0.024 0.024 0.047
```

Record 6
Here is a geometry-optimized BIrRh structure from the Alexandria database. Energies are from PBE.

Values from the calculation:
Crystal system: monoclinic
Calculated formation energy in eV per atom: -0.237
Electronic total energy in eV per cell: -47.20
Space group: P2_1/m, No. 11

```
BIrRh
1.0
-1.543 -1.116 -2.086
-1.010 -3.681 2.716
-4.747 1.467 2.726
Rh Ir B
2 2 2
direct
0.250 0.732 0.554
0.750 0.268 0.446
0.750 0.267 0.963
0.250 0.733 0.037
0.750 0.893 0.273
0.250 0.107 0.727
```

Record 7
Here is a geometry-optimized B2SbIrRh structure from the Alexandria database. Energies are from PBE.

Values from the calculation:
Crystal system: tetragonal
Electronic total energy in eV per cell: -30.31
Space group: P4/mmm, No. 123
E_form (uncorrected) in eV/atom: 0.68

```
B2SbIrRh
1.0
-0.953 -3.137 2.170
-0.350 -3.118 -4.660
3.806 -0.926 0.333
Rh B Sb Ir
1 2 1 1
direct
0.000 0.500 0.000
0.000 0.000 0.500
0.500 0.000 0.000
0.500 0.500 0.500
0.000 0.000 0.000
```

Record 8
Here is a geometry-optimized ScBIr2Rh structure from the Alexandria database. Energies are from PBE.

Values from the calculation:
Crystal system: tetragonal
Calculated formation energy in eV per atom: -0.692
Electronic total energy in eV per cell: -41.54
Space group: P4/mmm, No. 123

```
ScBIr2Rh
1.0
-1.222 -2.638 -2.948
3.604 -2.015 0.310
-1.635 -2.479 2.895
Ir B Sc Rh
2 1 1 1
direct
0.000 0.500 0.000
0.500 0.000 0.000
0.000 0.000 0.000
0.500 0.500 0.500
0.000 0.000 0.500
```